[1]
{"formula": "TiNbB", "functional": "PBE", "state": "relaxed", "e_above_lowest_polymorph_mev_per_atom": 91, "rho_g_cm3": 6.18, "space_group": "No. 62", "formation_enthalpy_0k_ev_per_fu": -0.96, "n_ef_per_ev_atom": 0.852, "m_tot_mub_per_fu": 0.0, "lattice": [[6.209, 0.000, 0.000], [0.000, 3.438, 0.000], [0.000, 0.000, 7.629]], "species": ["Ti", "Ti", "Ti", "Ti", "Nb", "Nb", "Nb", "Nb", "B", "B", "B", "B"], "frac_coords": [[0.030, 0.250, 0.166], [0.470, 0.750, 0.666], [0.530, 0.250, 0.334], [0.970, 0.750, 0.834], [0.146, 0.250, 0.570], [0.354, 0.750, 0.070], [0.646, 0.250, 0.930], [0.854, 0.750, 0.430], [0.232, 0.250, 0.881], [0.268, 0.750, 0.381], [0.732, 0.250, 0.619], [0.768, 0.750, 0.119]]}

***

[2]
{"formula": "ScCuAg2", "functional": "PBE", "state": "relaxed", "e_above_lowest_polymorph_mev_per_atom": 9, "rho_g_cm3": 7.76, "space_group": "No. 139", "formation_enthalpy_0k_ev_per_fu": -0.55, "n_ef_per_ev_atom": 0.555, "m_tot_mub_per_fu": 0.0, "lattice": [[-2.056, 2.056, 4.105], [2.056, -2.056, 4.105], [2.056, 2.056, -4.105]], "species": ["Sc", "Cu", "Ag", "Ag"], "frac_coords": [[0.000, 0.000, 0.000], [0.500, 0.500, 0.000], [0.250, 0.750, 0.500], [0.750, 0.250, 0.500]]}

***

[3]
{"formula": "NdSm6Dy2Tm3", "functional": "PBE", "state": "relaxed", "rho_g_cm3": 8.02, "space_group": "No. 12", "formation_enthalpy_0k_ev_per_fu": 0.21, "n_ef_per_ev_atom": 1.196, "m_tot_mub_per_fu": 0.0, "lattice": [[3.107, -5.379, 0.000], [3.107, 5.379, 0.000], [-2.063, 0.000, 11.641]], "species": ["Nd", "Sm", "Sm", "Sm", "Sm", "Sm", "Sm", "Dy", "Dy", "Tm", "Tm", "Tm"], "frac_coords": [[0.000, 0.000, 0.000], [0.085, 0.419, 0.253], [0.249, 0.249, 0.747], [0.419, 0.085, 0.253], [0.581, 0.915, 0.747], [0.751, 0.751, 0.253], [0.915, 0.581, 0.747], [0.333, 0.667, 0.000], [0.667, 0.333, 0.000], [0.167, 0.833, 0.500], [0.500, 0.500, 0.500], [0.833, 0.167, 0.500]]}

***

[4]
{"formula": "Tl3BS3", "functional": "PBE", "state": "relaxed", "rho_g_cm3": 6.65, "space_group": "No. 12", "formation_energy_uncorrected_ev_per_atom": -0.3603, "m_tot_mub_per_fu": 0.0, "lattice": [[4.208, -5.931, 0.000], [4.208, 5.931, 0.000], [-2.976, 0.000, 7.204]], "species": ["Tl", "Tl", "Tl", "Tl", "Tl", "Tl", "B", "B", "S", "S", "S", "S", "S", "S"], "frac_coords": [[0.173, 0.827, 0.000], [0.280, 0.720, 0.500], [0.397, 0.397, 0.156], [0.603, 0.603, 0.844], [0.720, 0.280, 0.500], [0.827, 0.173, 0.000], [0.147, 0.147, 0.649], [0.853, 0.853, 0.351], [0.095, 0.095, 0.381], [0.139, 0.404, 0.777], [0.404, 0.139, 0.777], [0.596, 0.861, 0.223], [0.861, 0.596, 0.223], [0.905, 0.905, 0.619]]}

***

[5]
{"formula": "CdSbIr2", "functional": "PBE", "state": "relaxed", "e_above_lowest_polymorph_mev_per_atom": 306, "rho_g_cm3": 14.27, "space_group": "No. 216", "formation_energy_uncorrected_ev_per_atom": 0.4665, "n_ef_per_ev_atom": 1.287, "m_tot_mub_per_fu": 0.0, "lattice": [[0.000, 3.301, 3.301], [3.301, 0.000, 3.301], [3.301, 3.301, 0.000]], "species": ["Cd", "Sb", "Ir", "Ir"], "frac_coords": [[0.000, 0.000, 0.000], [0.250, 0.250, 0.250], [0.500, 0.500, 0.500], [0.750, 0.750, 0.750]]}

***

[6]
{"formula": "As2Pd4Pb3", "functional": "PBE", "state": "relaxed", "rho_g_cm3": 10.35, "space_group": "No. 15", "formation_enthalpy_0k_ev_per_fu": -1.80, "n_ef_per_ev_atom": 0.359, "m_tot_mub_per_fu": 0.0, "lattice": [[6.349, -4.956, 0.000], [6.349, 4.956, 0.000], [-0.405, 0.000, 6.104]], "species": ["As", "As", "As", "As", "Pd", "Pd", "Pd", "Pd", "Pd", "Pd", "Pd", "Pd", "Pb", "Pb", "Pb", "Pb", "Pb", "Pb"], "frac_coords": [[0.083, 0.325, 0.431], [0.325, 0.083, 0.931], [0.675, 0.917, 0.069], [0.917, 0.675, 0.569], [0.053, 0.319, 0.026], [0.201, 0.585, 0.364], [0.319, 0.053, 0.526], [0.415, 0.799, 0.136], [0.585, 0.201, 0.864], [0.681, 0.947, 0.474], [0.799, 0.415, 0.636], [0.947, 0.681, 0.974], [0.059, 0.941, 0.250], [0.292, 0.507, 0.903], [0.493, 0.708, 0.597], [0.507, 0.292, 0.403], [0.708, 0.493, 0.097], [0.941, 0.059, 0.750]]}

***

What is the formula in the third record?
NdSm6Dy2Tm3